# 1
{
  "formula": "AcPr12In3",
  "functional": "PBE",
  "state": "optimized geometry",
  "total_energy_ev_per_cell": -72.7,
  "lattice_angstrom": [[-2.1380, -1.8208, 4.2223], [-4.1909, -1.1443, -2.6156], [7.7368, -18.7796, -4.1807]],
  "species": ["Pr", "Pr", "Pr", "Pr", "Pr", "Pr", "Pr", "Pr", "Pr", "Pr", "Pr", "Pr", "In", "In", "In", "Ac"],
  "fractional_positions": [[0.5000, 0.0000, 0.6210], [0.0000, 0.5000, 0.3790], [0.5000, 0.0000, 0.3790], [0.5000, 0.5000, 0.7409], [0.0000, 0.5000, 0.1362], [0.5000, 0.5000, 0.2591], [0.0000, 0.5000, 0.6210], [0.5000, 0.0000, 0.1362], [0.5000, 0.5000, 0.0000], [0.5000, 0.0000, 0.8638], [0.0000, 0.5000, 0.8638], [0.5000, 0.5000, 0.5000], [0.0000, 0.0000, 0.2579], [0.0000, 0.0000, 0.5000], [0.0000, 0.0000, 0.7421], [0.0000, 0.0000, 0.0000]]
}

# 2
{
  "formula": "CaFe2Pt",
  "functional": "PBE",
  "state": "optimized geometry",
  "total_energy_ev_per_cell": -23.8,
  "lattice_angstrom": [[-3.8836, -6.6227, 4.4295], [-1.2855, -6.5472, 5.8349], [-3.4616, -4.7236, 6.6535]],
  "species": ["Fe", "Fe", "Pt", "Ca"],
  "fractional_positions": [[0.2555, 0.2555, 0.2555], [0.9871, 0.9871, 0.9871], [0.5084, 0.5084, 0.5084], [0.7490, 0.7490, 0.7490]]
}

# 3
{
  "formula": "ScCd2Se",
  "functional": "PBE",
  "state": "optimized geometry",
  "total_energy_ev_per_cell": -26.4,
  "lattice_angstrom": [[-0.0062, -6.4249, -5.3233], [6.3141, 3.4762, -4.2029], [4.9415, -2.7957, -3.1704]],
  "species": ["Sc", "Sc", "Se", "Se", "Cd", "Cd", "Cd", "Cd"],
  "fractional_positions": [[0.5000, 0.5000, 0.0000], [0.2500, 0.7500, 0.5000], [0.7500, 0.2500, 0.5000], [0.0000, 0.0000, 0.0000], [0.6479, 0.1250, 0.2500], [0.1021, 0.6250, 0.2500], [0.3750, 0.3521, 0.7500], [0.8750, 0.8979, 0.7500]]
}

# 4
{
  "formula": "Cs3Hg4Pd",
  "functional": "PBE",
  "state": "optimized geometry",
  "total_energy_ev_per_cell": -10.2,
  "lattice_angstrom": [[1.1996, -6.2316, 4.5002], [7.0664, 2.5728, -1.9928], [-4.4613, 4.8113, 4.1799]],
  "species": ["Cs", "Cs", "Cs", "Hg", "Hg", "Hg", "Hg", "Pd"],
  "fractional_positions": [[0.5000, 0.7500, 0.2500], [0.0000, 0.5000, 0.5000], [0.5000, 0.2500, 0.7500], [0.0000, 0.7934, 0.2049], [0.0000, 0.2049, 0.7934], [0.5884, 0.7951, 0.7951], [0.4116, 0.2066, 0.2066], [0.0000, 0.0000, 0.0000]]
}

# 5
{
  "formula": "BePd3Pt",
  "functional": "PBE",
  "state": "optimized geometry",
  "total_energy_ev_per_cell": -18.6,
  "lattice_angstrom": [[-0.3312, -3.4929, 3.3897], [1.6162, -3.2837, -3.2258], [4.5912, 0.9040, 1.3800]],
  "species": ["Pd", "Pd", "Pd", "Pt", "Be"],
  "fractional_positions": [[0.0000, 0.0000, 0.5000], [0.0000, 0.5000, 0.0000], [0.5000, 0.0000, 0.0000], [0.0000, 0.0000, 0.0000], [0.5000, 0.5000, 0.5000]]
}

# 6
{
  "formula": "LiMnPRh2",
  "functional": "PBE",
  "state": "optimized geometry",
  "total_energy_ev_per_cell": -26.5,
  "lattice_angstrom": [[-1.3703, -3.6675, -0.9455], [2.8955, -1.6603, 2.2437], [-2.4363, 0.0838, 3.2061]],
  "species": ["Rh", "Rh", "P", "Li", "Mn"],
  "fractional_positions": [[0.0000, 0.0000, 0.5000], [0.5000, 0.0000, 0.0000], [0.5000, 0.5000, 0.5000], [0.0000, 0.0000, 0.0000], [0.0000, 0.5000, 0.0000]]
}

# 7
{
  "formula": "LiSc",
  "functional": "PBE",
  "state": "optimized geometry",
  "total_energy_ev_per_cell": -46.5,
  "lattice_angstrom": [[14.1766, 0.0000, 0.0000], [0.0000, 3.0548, 0.0000], [0.0000, 0.0000, 5.9537]],
  "species": ["Sc", "Sc", "Sc", "Sc", "Sc", "Sc", "Li", "Li", "Li", "Li", "Li", "Li"],
  "fractional_positions": [[0.0000, 0.5000, 0.9699], [0.5000, 0.0000, 0.4699], [0.1911, 0.0000, 0.1566], [0.8089, 0.0000, 0.1566], [0.6911, 0.5000, 0.6566], [0.3089, 0.5000, 0.6566], [0.5000, 0.0000, 0.9235], [0.1266, 0.0000, 0.6478], [0.0000, 0.5000, 0.4235], [0.6266, 0.5000, 0.1478], [0.8734, 0.0000, 0.6478], [0.3734, 0.5000, 0.1478]]
}

# 8
{
  "formula": "NaCe2Y3Se6",
  "functional": "PBE",
  "state": "optimized geometry",
  "total_energy_ev_per_cell": -74.7,
  "lattice_angstrom": [[-4.1053, 0.0541, -0.2127], [-0.4468, -2.0401, 8.1057], [2.1708, 9.0473, 0.1331]],
  "species": ["Na", "Y", "Y", "Y", "Se", "Se", "Se", "Se", "Se", "Se", "Ce", "Ce"],
  "fractional_positions": [[0.5000, 0.0000, 0.0000], [0.1660, 0.8276, 0.3321], [0.5000, 0.5000, 0.0000], [0.8340, 0.1724, 0.6679], [0.0013, 0.7457, 0.0026], [0.9987, 0.2543, 0.9974], [0.3371, 0.4111, 0.6743], [0.3323, 0.9244, 0.6645], [0.6677, 0.0756, 0.3355], [0.6629, 0.5889, 0.3257], [0.1685, 0.3383, 0.3370], [0.8315, 0.6617, 0.6630]]
}

# 9
{
  "formula": "Ba2IrPb",
  "functional": "PBE",
  "state": "optimized geometry",
  "total_energy_ev_per_cell": -16.9,
  "lattice_angstrom": [[6.9698, -0.0012, -0.0042], [5.8456, 3.7957, -0.0042], [2.2420, 0.6638, 5.0732]],
  "species": ["Ba", "Ba", "Pb", "Ir"],
  "fractional_positions": [[0.9942, 0.9942, 0.0059], [0.8011, 0.8011, 0.6988], [0.1814, 0.1814, 0.3186], [0.5233, 0.5233, 0.4766]]
}

# 10
{
  "formula": "BiAsSCl2",
  "functional": "PBE",
  "state": "optimized geometry",
  "total_energy_ev_per_cell": -16.0,
  "lattice_angstrom": [[4.9206, 0.0000, 0.0000], [0.0000, 4.9206, 0.0000], [0.0000, 0.0000, 5.1069]],
  "species": ["Bi", "S", "Cl", "Cl", "As"],
  "fractional_positions": [[0.5000, 0.5000, 0.5000], [0.0000, 0.0000, 0.5000], [0.0000, 0.5000, 0.0000], [0.5000, 0.0000, 0.0000], [0.0000, 0.0000, 0.0000]]
}

# 11
{
  "formula": "ReAg2Cl",
  "functional": "PBE",
  "state": "optimized geometry",
  "total_energy_ev_per_cell": -18.1,
  "lattice_angstrom": [[2.9289, 0.0150, 0.0000], [-1.5065, 2.5118, 0.0000], [0.0000, 0.0000, 9.9062]],
  "species": ["Re", "Cl", "Ag", "Ag"],
  "fractional_positions": [[0.5000, 0.5000, 0.7392], [0.0000, 0.0000, 0.5453], [0.0000, 0.0000, 0.9837], [0.5000, 0.5000, 0.2318]]
}

# 12
{
  "formula": "CeNd6Sm4",
  "functional": "PBE",
  "state": "optimized geometry",
  "total_energy_ev_per_cell": -50.2,
  "lattice_angstrom": [[7.6129, -3.2244, -5.7629], [-5.3277, 8.2650, 2.2066], [-2.0785, 3.2244, 9.3192]],
  "species": ["Sm", "Sm", "Sm", "Sm", "Nd", "Nd", "Nd", "Nd", "Nd", "Nd", "Ce"],
  "fractional_positions": [[0.3787, 0.3692, 0.3692], [0.0000, 0.6308, 0.0095], [0.6213, 0.9905, 0.9905], [0.0000, 0.0095, 0.6308], [0.0000, 0.8153, 0.4472], [0.6319, 0.1847, 0.1847], [0.0000, 0.4472, 0.8153], [0.3681, 0.5528, 0.5528], [0.5000, 0.0000, 0.5000], [0.5000, 0.5000, 0.0000], [0.0000, 0.0000, 0.0000]]
}